[1]
# GGA-PBE Sr3TeRu, optimized geometry
data_Sr3TeRu
_cell_length_a 5.656
_cell_length_b 5.656
_cell_length_c 5.656
_cell_angle_alpha 90.00
_cell_angle_beta 90.00
_cell_angle_gamma 90.00
_space_group_name_H-M_alt 'P m -3 m'
_space_group_IT_number 221
_space_group_name_Hall '-P 4 2 3'
loop_
_atom_site_label
_atom_site_type_symbol
_atom_site_fract_x
_atom_site_fract_y
_atom_site_fract_z
_atom_site_occupancy
Sr1 Sr 0.000 0.000 0.500 1
Te1 Te 0.500 0.500 0.500 1
Ru1 Ru 0.000 0.000 0.000 1
# - E_tot (eV per atom) = -3.739
# - uncorrected formation energy (eV/atom) = -0.246

[2]
# GGA-PBE SrTe2Ru, optimized geometry
data_SrTe2Ru
_cell_length_a 4.410
_cell_length_b 4.410
_cell_length_c 10.497
_cell_angle_alpha 90.00
_cell_angle_beta 90.00
_cell_angle_gamma 90.00
_space_group_name_H-M_alt 'I -4 m 2'
_space_group_IT_number 119
_space_group_name_Hall 'I -4 -2'
loop_
_atom_site_label
_atom_site_type_symbol
_atom_site_fract_x
_atom_site_fract_y
_atom_site_fract_z
_atom_site_occupancy
Sr1 Sr 0.000 0.000 0.000 1
Te1 Te 0.000 0.000 0.500 1
Te2 Te 0.000 0.500 0.750 1
Ru1 Ru 0.000 0.500 0.250 1
# - E_tot (eV per atom) = -4.281
# - uncorrected formation energy (eV/atom) = 0.029

[3]
# GGA-PBE SrTe2Ru, optimized geometry
data_SrTe2Ru
_cell_length_a 3.610
_cell_length_b 5.211
_cell_length_c 5.224
_cell_angle_alpha 90.00
_cell_angle_beta 90.00
_cell_angle_gamma 90.00
_space_group_name_H-M_alt 'P m m m'
_space_group_IT_number 47
loop_
_space_group_symop_operation_xyz
'x,y,z'
'-x,-y,-z'
'-x,-y,z'
'x,y,-z'
'x,-y,-z'
'-x,y,z'
'-x,y,-z'
'x,-y,z'
loop_
_atom_site_label
_atom_site_type_symbol
_atom_site_fract_x
_atom_site_fract_y
_atom_site_fract_z
_atom_site_occupancy
Sr1 Sr 0.000 0.000 0.000 1
Te1 Te 0.500 0.000 0.500 1
Te2 Te 0.500 0.500 0.000 1
Ru1 Ru 0.000 0.500 0.500 1
# - E_tot (eV per atom) = -4.451
# - uncorrected formation energy (eV/atom) = -0.141

Sequential total moment output: 0.0; 1.3; 0.0 μB per formula unit
Sequential distance to the lowest polymorph of the same formula output: 0.000; 0.691; 0.521 eV per atom